{"formula": "Li3CaAs", "functional": "meta-GGA SCAN", "state": "single point on PBEsol structure", "lattice": [[-2.8830, 1.1907, -3.7059], [3.1000, -2.0866, -3.0821], [-2.3540, -4.2062, 0.4799]], "species": ["Ca", "Li", "Li", "Li", "As"], "frac_coords": [[0.5000, 0.5000, 0.5000], [0.0000, 0.0000, 0.5000], [0.0000, 0.5000, 0.0000], [0.5000, 0.0000, 0.0000], [0.0000, 0.0000, 0.0000]], "dos_ef_per_ev_cell": 2.05, "ef_ev_per_atom": -0.354}